No. 1
Compound: Ce2YNiS5
Source: Alexandria
Functional: PBE
Structure: relaxed

Output
E_tot ... -6.728 eV per atom
Space-group type ... Cmc2_1 (36)
Calculated volume ... 20.62 Å³ per atom
Raw formation energy ... -1.76 eV/atom

abc: 3.825 8.433 11.815
angles: 90.00 90.00 103.11
Atoms (fractional coordinates):
Ce1 0.889 0.778 0.850
Ce2 0.118 0.235 0.697
Ce3 0.111 0.222 0.350
Ce4 0.882 0.765 0.197
Y1 0.824 0.648 0.527
Y2 0.176 0.352 0.027
Ni1 0.551 0.101 0.917
Ni2 0.449 0.899 0.417
S1 0.343 0.685 0.022
S2 0.683 0.367 0.861
S3 0.495 0.991 0.748
S4 0.304 0.607 0.692
S5 0.987 0.974 0.510
S6 0.657 0.315 0.522
S7 0.317 0.633 0.361
S8 0.505 0.009 0.248
S9 0.696 0.393 0.192
S10 0.013 0.026 0.010



No. 2
Compound: CeZrNiS4
Source: Alexandria
Functional: PBE
Structure: relaxed

Output
E_tot ... -6.607 eV per atom
Space-group type ... P2_1/m (11)
Calculated volume ... 19.42 Å³ per atom
Raw formation energy ... -1.35 eV/atom

abc: 6.032 6.388 7.398
angles: 90.00 107.52 90.00
Atoms (fractional coordinates):
Ce1 0.775 0.750 0.942
Ce2 0.225 0.250 0.058
Zr1 0.772 0.750 0.440
Zr2 0.228 0.250 0.560
Ni1 0.241 0.750 0.313
Ni2 0.759 0.250 0.687
S1 0.016 0.510 0.732
S2 0.984 0.010 0.268
S3 0.984 0.490 0.268
S4 0.016 0.990 0.732
S5 0.446 0.750 0.117
S6 0.554 0.250 0.883
S7 0.460 0.750 0.607
S8 0.540 0.250 0.393



No. 3
Compound: CeZrNiS3
Source: Alexandria
Functional: PBE
Structure: relaxed

Output
E_tot ... -6.932 eV per atom
Space-group type ... P2_1/m (11)
Calculated volume ... 19.19 Å³ per atom
Raw formation energy ... -1.49 eV/atom

abc: 3.724 7.725 8.244
angles: 103.86 90.00 90.00
Atoms (fractional coordinates):
Ce1 0.250 0.183 0.240
Ce2 0.750 0.817 0.760
Zr1 0.250 0.678 0.167
Zr2 0.750 0.322 0.833
Ni1 0.250 0.093 0.597
Ni2 0.750 0.907 0.403
S1 0.750 0.903 0.133
S2 0.250 0.097 0.867
S3 0.250 0.776 0.486
S4 0.750 0.224 0.514
S5 0.750 0.436 0.168
S6 0.250 0.564 0.832



No. 4
Compound: Ce2ZrNiS5
Source: Alexandria
Functional: PBE
Structure: relaxed

Output
E_tot ... -6.873 eV per atom
Space-group type ... Cmc2_1 (36)
Calculated volume ... 19.71 Å³ per atom
Raw formation energy ... -1.67 eV/atom

abc: 3.770 8.297 11.649
angles: 90.00 90.00 103.13
Atoms (fractional coordinates):
Ce1 0.888 0.777 0.844
Ce2 0.122 0.243 0.699
Ce3 0.112 0.223 0.344
Ce4 0.878 0.757 0.199
Zr1 0.824 0.647 0.520
Zr2 0.176 0.353 0.020
Ni1 0.561 0.122 0.923
Ni2 0.439 0.878 0.423
S1 0.342 0.683 0.020
S2 0.693 0.385 0.865
S3 0.499 0.999 0.754
S4 0.306 0.613 0.679
S5 0.979 0.958 0.519
S6 0.658 0.317 0.520
S7 0.307 0.615 0.365
S8 0.501 0.001 0.254
S9 0.694 0.387 0.179
S10 0.021 0.042 0.019